Here is crystalline Sc6Cu2Tc at its relaxed geometry from Alexandria via LeMat-Bulk. Energies are from PBE-GGA.

Summary:
DOS(E_F): 1.359 states/eV/atom
space group: Immm (71)
electronic total energy: -116.24 eV for the cell shown

The structure in CIF format:
```
data_Sc6Cu2Tc
_symmetry_space_group_name_H-M 'P 1'
_symmetry_Int_Tables_number 1
_cell_length_a 7.747
_cell_length_b 7.747
_cell_length_c 7.747
_cell_angle_alpha 110.06
_cell_angle_beta 111.01
_cell_angle_gamma 107.36
loop_
_symmetry_equiv_pos_as_xyz
'x,y,z'
loop_
_atom_site_label
_atom_site_type_symbol
_atom_site_fract_x
_atom_site_fract_y
_atom_site_fract_z
_atom_site_occupancy
Sc1 Sc 0.566 0.743 0.823 1
Sc2 Sc 0.192 0.741 0.933 1
Sc3 Sc 0.434 0.257 0.177 1
Cu1 Cu 0.500 0.631 0.131 1
Cu2 Cu 0.357 0.000 0.357 1
Cu3 Cu 0.500 0.369 0.869 1
Sc4 Sc 0.276 0.604 0.328 1
Sc5 Sc 0.192 0.259 0.450 1
Sc6 Sc 0.276 0.947 0.672 1
Tc1 Tc 0.000 0.500 0.500 1
Sc7 Sc 0.808 0.259 0.067 1
Sc8 Sc 0.724 0.053 0.328 1
Sc9 Sc 0.919 0.743 0.177 1
Tc2 Tc 0.000 0.000 0.000 1
Cu4 Cu 0.643 0.000 0.643 1
Sc10 Sc 0.808 0.741 0.550 1
Sc11 Sc 0.724 0.396 0.672 1
Sc12 Sc 0.081 0.257 0.823 1
```